1.
Material: BaSiAu2I
Method: DFT, meta-GGA SCAN
State: single point on PBEsol structure

The space group is P4/mmm (No. 123) and the conventional cell measures 5.214, 5.214 and 6.378 Å, with angles of 90.00, 90.00 and 90.00 degrees. Symmetry generates all atoms from Ba at (0.000, 0.000, 0.000), Si at (0.500, 0.500, 0.000), Au at (0.000, 0.500, 0.500) and I at (0.000, 0.000, 0.500).

For the raw formation energy, the calculation gives 55.3 kJ/mol of atoms.



2.
Material: BaTeAuI2
Method: DFT, meta-GGA SCAN
State: single point on PBEsol structure

The space group is P4/mmm (No. 123) and the conventional cell measures 5.571, 5.571 and 5.605 Å, with angles of 90.00, 90.00 and 90.00 degrees. Symmetry generates all atoms from Ba at (0.000, 0.000, 0.000), Te at (0.500, 0.500, 0.000), Au at (0.500, 0.500, 0.500) and I at (0.000, 0.500, 0.500).

For the raw formation energy, the calculation gives -84.0 kJ/mol of atoms.



3.
Material: BaInAu2
Method: DFT, meta-GGA SCAN
State: single point on PBEsol structure

The space group is R-3m (No. 166, hexagonal axes) and the conventional cell measures 4.7509, 4.7509 and 16.4611 Å, with angles of 90.00, 90.00 and 120.00 degrees. Symmetry generates all atoms from Ba at (0.0000, 0.0000, 0.0000), In at (0.0000, 0.0000, 0.5000) and Au at (0.0000, 0.0000, 0.2038).

The calculation puts the calculated formation energy at -692 meV/atom.



4.
Material: BaIn2Au
Method: DFT, meta-GGA SCAN
State: single point on PBEsol structure

The space group is Cmmm (No. 65) and the conventional cell measures 5.932, 8.270 and 4.775 Å, with angles of 90.00, 90.00 and 90.00 degrees. Symmetry generates all atoms from Ba at (0.000, 0.000, 0.000), In at (0.000, 0.321, 0.500) and Au at (0.000, 0.500, 0.000).

The calculation puts the calculated formation energy at -601 meV/atom.



5.
Material: Ba4InAu
Method: DFT, meta-GGA SCAN
State: single point on PBEsol structure

The space group is F-43m (No. 216) and the conventional cell measures 9.737, 9.737 and 9.737 Å, with angles of 90.00, 90.00 and 90.00 degrees. Symmetry generates all atoms from Ba at (0.125, 0.125, 0.125), In at (0.000, 0.000, 0.500) and Au at (0.250, 0.250, 0.750).

The calculation puts the calculated formation energy at 283 meV/atom.



6.
Material: BaIn2Au
Method: DFT, meta-GGA SCAN
State: single point on PBEsol structure

The space group is R-3m (No. 166, hexagonal axes) and the conventional cell measures 4.6512, 4.6512 and 18.7025 Å, with angles of 90.00, 90.00 and 120.00 degrees. Symmetry generates all atoms from Ba at (0.0000, 0.0000, 0.0000), In at (0.0000, 0.0000, 0.2124) and Au at (0.0000, 0.0000, 0.5000).

The calculation puts the calculated formation energy at -586 meV/atom.



7.
Material: BaIn2Au
Method: DFT, meta-GGA SCAN
State: single point on PBEsol structure

The space group is P4/mmm (No. 123) and the conventional cell measures 4.562, 4.562 and 5.306 Å, with angles of 90.00, 90.00 and 90.00 degrees. Symmetry generates all atoms from Ba at (0.000, 0.000, 0.000), In at (0.000, 0.500, 0.500) and Au at (0.500, 0.500, 0.000).

The calculation puts the calculated formation energy at -342 meV/atom.



8.
Material: BaInAu2
Method: DFT, meta-GGA SCAN
State: single point on PBEsol structure

The space group is P4/mmm (No. 123) and the conventional cell measures 5.100, 5.100 and 3.922 Å, with angles of 90.00, 90.00 and 90.00 degrees. Symmetry generates all atoms from Ba at (0.000, 0.000, 0.000), In at (0.500, 0.500, 0.000) and Au at (0.000, 0.500, 0.500).

The calculation puts the calculated formation energy at -464 meV/atom.



9.
Material: Ba2In2Au
Method: DFT, meta-GGA SCAN
State: single point on PBEsol structure

The space group is I4/mmm (No. 139) and the conventional cell measures 6.714, 6.714 and 8.077 Å, with angles of 90.00, 90.00 and 90.00 degrees. Symmetry generates all atoms from Ba at (0.000, 0.500, 0.250), In at (0.000, 0.000, 0.165) and Au at (0.000, 0.000, 0.500).

The calculation puts the calculated formation energy at -342 meV/atom.



10.
Material: BaIn2Au
Method: DFT, meta-GGA SCAN
State: single point on PBEsol structure

The space group is P4mm (No. 99) and the conventional cell measures 3.687, 3.687 and 7.908 Å, with angles of 90.00, 90.00 and 90.00 degrees. Symmetry generates all atoms from Ba at (0.000, 0.000, 0.000), In at (0.000, 0.000, 0.551), In at (0.500, 0.500, 0.324) and Au at (0.500, 0.500, 0.721).

The calculation puts the calculated formation energy at -409 meV/atom.



11.
Material: Ba2InAu
Method: DFT, meta-GGA SCAN
State: single point on PBEsol structure

The space group is P4/mmm (No. 123) and the conventional cell measures 5.801, 5.801 and 3.976 Å, with angles of 90.00, 90.00 and 90.00 degrees. Symmetry generates all atoms from Ba at (0.000, 0.500, 0.000), In at (0.000, 0.000, 0.500) and Au at (0.500, 0.500, 0.500).

The calculation puts the calculated formation energy at -640 meV/atom.



12.
Material: BaIn2Au
Method: DFT, meta-GGA SCAN
State: single point on PBEsol structure

The space group is R3m (No. 160, hexagonal axes) and the conventional cell measures 4.7003, 4.7003 and 18.5516 Å, with angles of 90.00, 90.00 and 120.00 degrees. Symmetry generates all atoms from Ba at (0.0000, 0.0000, 0.0000), In at (0.0000, 0.0000, 0.2106), In at (0.0000, 0.0000, 0.4559) and Au at (0.0000, 0.0000, 0.8163).

The calculation puts the calculated formation energy at -607 meV/atom.



13.
Material: Ba2InAu
Method: DFT, meta-GGA SCAN
State: single point on PBEsol structure

The space group is R3m (No. 160, hexagonal axes) and the conventional cell measures 4.8680, 4.8680 and 23.9886 Å, with angles of 90.00, 90.00 and 120.00 degrees. Symmetry generates all atoms from Ba at (0.0000, 0.0000, 0.0000), Ba at (0.0000, 0.0000, 0.1694), In at (0.0000, 0.0000, 0.4182) and Au at (0.0000, 0.0000, 0.7515).

The calculation puts the calculated formation energy at -631 meV/atom.



14.
Material: BaInAu2Se
Method: DFT, meta-GGA SCAN
State: single point on PBEsol structure

The space group is P4/mmm (No. 123) and the conventional cell measures 5.918, 5.918 and 5.851 Å, with angles of 90.00, 90.00 and 90.00 degrees. Symmetry generates all atoms from Ba at (0.000, 0.000, 0.000), In at (0.500, 0.500, 0.500), Au at (0.000, 0.500, 0.000) and Se at (0.000, 0.000, 0.500).

For the raw formation energy, the calculation gives 24.8 kJ/mol of atoms.



15.
Material: BaIrAu2
Method: DFT, meta-GGA SCAN
State: single point on PBEsol structure

The space group is P4/mmm (No. 123) and the conventional cell measures 4.401, 4.401 and 4.251 Å, with angles of 90.00, 90.00 and 90.00 degrees. Symmetry generates all atoms from Ba at (0.000, 0.000, 0.000), Ir at (0.500, 0.500, 0.000) and Au at (0.000, 0.500, 0.500).

The calculation puts the calculated formation energy at 239 meV/atom.



16.
Material: K2BaAu
Method: DFT, meta-GGA SCAN
State: single point on PBEsol structure

The space group is Fm-3m (No. 225) and the conventional cell measures 8.404, 8.404 and 8.404 Å, with angles of 90.00, 90.00 and 90.00 degrees. Symmetry generates all atoms from K at (0.250, 0.250, 0.250), Ba at (0.000, 0.000, 0.000) and Au at (0.000, 0.000, 0.500).

The energy above the lowest structure with this stoichiometry is 170 meV per atom. The calculation puts the calculated formation energy at 83 meV/atom.



17.
Material: KBa2Au2
Method: DFT, meta-GGA SCAN
State: single point on PBEsol structure

The space group is P4/mbm (No. 127) and the conventional cell measures 8.826, 8.826 and 4.434 Å, with angles of 90.00, 90.00 and 90.00 degrees. Symmetry generates all atoms from K at (0.000, 0.000, 0.000), Ba at (0.162, 0.338, 0.500) and Au at (0.123, 0.623, 0.000).

The calculation puts the calculated formation energy at -645 meV/atom.



18.
Material: KBa2Au
Method: DFT, meta-GGA SCAN
State: single point on PBEsol structure

The space group is Amm2 (No. 38) and the conventional cell measures 4.603, 6.503 and 13.744 Å, with angles of 90.00, 90.00 and 90.00 degrees. Symmetry generates all atoms from K at (0.000, 0.000, 0.000), Ba at (0.000, 0.000, 0.679), Ba at (0.500, 0.000, 0.341) and Au at (0.500, 0.000, 0.833).

The energy above the lowest structure with this stoichiometry is 129 meV per atom. The calculation puts the calculated formation energy at -333 meV/atom.



19.
Material: KBa2Au
Method: DFT, meta-GGA SCAN
State: single point on PBEsol structure

The space group is Immm (No. 71) and the conventional cell measures 4.369, 6.909 and 12.541 Å, with angles of 90.00, 90.00 and 90.00 degrees. Symmetry generates all atoms from K at (0.000, 0.000, 0.000), Ba at (0.000, 0.500, 0.179) and Au at (0.000, 0.000, 0.500).

The energy above the lowest structure with this stoichiometry is 178 meV per atom. The calculation puts the calculated formation energy at -284 meV/atom.



20.
Material: KBa2Au
Method: DFT, meta-GGA SCAN
State: single point on PBEsol structure

The space group is P4/mmm (No. 123) and the conventional cell measures 4.026, 4.026 and 11.127 Å, with angles of 90.00, 90.00 and 90.00 degrees. Symmetry generates all atoms from K at (0.000, 0.000, 0.000), Ba at (0.500, 0.500, 0.335) and Au at (0.000, 0.000, 0.500).

The energy above the lowest structure with this stoichiometry is 28 meV per atom. The calculation puts the calculated formation energy at -435 meV/atom.



Number 1: mass density 6.6 g cm⁻³. Number 2: mass density 6.8 g cm⁻³. Number 3: mass density 10.0 g cm⁻³. Number 4: mass density 8.0 g cm⁻³. Number 5: mass density 6.2 g cm⁻³. Number 6: mass density 8.0 g cm⁻³. Number 7: mass density 8.5 g cm⁻³. Number 8: mass density 10.5 g cm⁻³. Number 9: mass density 6.4 g cm⁻³. Number 10: mass density 8.7 g cm⁻³. Number 11: mass density 7.3 g cm⁻³. Number 12: mass density 7.9 g cm⁻³. Number 13: mass density 5.9 g cm⁻³. Number 14: mass density 5.9 g cm⁻³. Number 15: mass density 14.6 g cm⁻³. Number 16: mass density 4.6 g cm⁻³. Number 17: mass density 6.8 g cm⁻³. Number 18: mass density 4.1 g cm⁻³. Number 19: mass density 4.5 g cm⁻³. Number 20: mass density 4.7 g cm⁻³.